## HgAuCl2 (PBE)

Data for a relaxed structure of HgAuCl2.

The raw formation energy comes out at 0.02 eV per atom. The value obtained for the density of states at the Fermi level is 3.587 states/eV/cell. Its total energy is -1.800 eV per atom. For the energy above the most stable polymorph in this dataset, the calculation gives 0.261 eV/atom.

It has space group I-4m2 (No. 119), with a = 3.885 Å, b = 3.885 Å, c = 13.552 Å, α = 90.00°, β = 90.00° and γ = 90.00°. The inequivalent atoms are Hg at (0.000, 0.000, 0.000), Au at (0.000, 0.500, 0.750), Cl at (0.000, 0.000, 0.500) and Cl at (0.000, 0.500, 0.250).